# 1
The following is a PBE calculation of an optimized crystal structure of CaTaTe2, from the Alexandria database.

The space group is F-43m (No. 216) and the conventional cell measures 7.455, 7.455 and 7.455 Å, with angles of 90.00, 90.00 and 90.00 degrees. Symmetry generates all atoms from Ca at (0.000, 0.000, 0.000), Ta at (0.250, 0.250, 0.250), Te at (0.000, 0.000, 0.500) and Te at (0.250, 0.250, 0.750).

For the density of states at the Fermi level, the calculation gives 8.33 states/eV per cell. As for the energy above the most stable polymorph in this dataset: 914.2 meV per atom. Its crystal system is cubic. For the energy relative to the elements, uncorrected, the calculation gives 0.44 eV/atom.

# 2
The following is a PBE calculation of an optimized crystal structure of Pr2Sm3Dy, from the Alexandria database.

The space group is C2/c (No. 15) and the conventional cell measures 10.434, 11.611 and 6.800 Å, with angles of 90.00, 90.32 and 90.00 degrees. Symmetry generates all atoms from Pr at (0.167, 0.235, 0.248), Sm at (0.000, 0.264, 0.750), Sm at (0.168, 0.499, 0.500) and Dy at (0.000, 0.000, 0.000).

For the formation energy, the calculation gives 0.1726 eV/atom. For the density of states at the Fermi level, the calculation gives 39.79 states/eV per cell. As for the energy above the most stable polymorph in this dataset: 0.0 meV per atom. Its crystal system is monoclinic.

# 3
The following is a PBE calculation of an optimized crystal structure of H5Pd12Au3, from the Alexandria database.

The space group is Ia-3d (No. 230) and the conventional cell measures 12.998, 12.998 and 12.998 Å, with angles of 90.00, 90.00 and 90.00 degrees. Symmetry generates all atoms from H at (0.000, 0.000, 0.000), H at (0.000, 0.250, 0.375), Pd at (0.047, 0.143, 0.952) and Au at (0.000, 0.250, 0.125).

For the density of states at the Fermi level, the calculation gives 151.11 states/eV per cell. The total energy is -697.87 eV/cell. Its crystal system is cubic.

# 4
The following is a PBE calculation of an optimized crystal structure of Ac6Nd5Y, from the Alexandria database.

The space group is Immm (No. 71) and the conventional cell measures 5.497, 10.531 and 16.405 Å, with angles of 90.00, 90.00 and 90.00 degrees. Symmetry generates all atoms from Ac at (0.000, 0.249, 0.000), Ac at (0.000, 0.251, 0.334), Nd at (0.000, 0.000, 0.167), Nd at (0.000, 0.000, 0.500), Nd at (0.000, 0.500, 0.167) and Y at (0.000, 0.500, 0.500).

For the formation energy, the calculation gives 0.0269 eV/atom. For the density of states at the Fermi level, the calculation gives 36.48 states/eV per cell. Its crystal system is orthorhombic.

# 5
The following is a PBE calculation of an optimized crystal structure of La3Dy4Ho, from the Alexandria database.

The space group is Immm (No. 71) and the conventional cell measures 3.510, 11.823 and 13.119 Å, with angles of 90.00, 90.00 and 90.00 degrees. Symmetry generates all atoms from La at (0.000, 0.000, 0.000), La at (0.000, 0.500, 0.243), Dy at (0.000, 0.245, 0.366) and Ho at (0.000, 0.000, 0.500).

For the formation energy, the calculation gives 0.1340 eV/atom. For the density of states at the Fermi level, the calculation gives 25.42 states/eV per cell. As for the energy above the most stable polymorph in this dataset: 129.1 meV per atom. Its crystal system is orthorhombic.

# 6
The following is a PBE calculation of an optimized crystal structure of Tb4Er19Th6, from the Alexandria database.

The space group is I23 (No. 197) and the conventional cell measures 12.380, 12.380 and 12.380 Å, with angles of 90.00, 90.00 and 90.00 degrees. Symmetry generates all atoms from Tb at (0.178, 0.178, 0.178), Er at (0.000, 0.000, 0.000), Er at (0.000, 0.000, 0.264), Er at (0.066, 0.276, 0.743) and Th at (0.000, 0.129, 0.500).

For the formation energy, the calculation gives 0.4248 eV/atom. For the density of states at the Fermi level, the calculation gives 90.49 states/eV per cell. Its crystal system is cubic.

# 7
The following is a PBE calculation of an optimized crystal structure of ZrPb2Se, from the Alexandria database.

The space group is Pm (No. 6) and the conventional cell measures 4.479, 4.009 and 6.198 Å, with angles of 90.00, 111.07 and 90.00 degrees. Symmetry generates all atoms from Zr at (0.000, 0.000, 0.000), Pb at (0.433, 0.500, 0.865), Pb at (0.732, 0.000, 0.452) and Se at (0.172, 0.500, 0.330).

For the density of states at the Fermi level, the calculation gives 0.98 states/eV per cell. Its crystal system is monoclinic. For the energy relative to the elements, uncorrected, the calculation gives -0.33 eV/atom.

# 8
The following is a PBE calculation of an optimized crystal structure of CdSbSeBr2, from the Alexandria database.

The space group is P4/mmm (No. 123) and the conventional cell measures 5.444, 5.444 and 5.927 Å, with angles of 90.00, 90.00 and 90.00 degrees. Symmetry generates all atoms from Cd at (0.000, 0.000, 0.000), Sb at (0.000, 0.000, 0.500), Se at (0.500, 0.500, 0.000) and Br at (0.000, 0.500, 0.500).

For the density of states at the Fermi level, the calculation gives 3.03 states/eV per cell. As for the energy above the most stable polymorph in this dataset: 235.7 meV per atom. Its crystal system is tetragonal. For the energy relative to the elements, uncorrected, the calculation gives 0.17 eV/atom.